{"formula": "LiY2Er3Te6", "functional": "GGA-PBE", "state": "optimized geometry", "lattice": [[9.438, -2.160, 0.000], [9.438, 2.160, 0.000], [-1.990, 0.000, 8.422]], "species": ["Li", "Y", "Y", "Er", "Er", "Er", "Te", "Te", "Te", "Te", "Te", "Te"], "frac_coords": [[0.000, 0.000, 0.000], [0.330, 0.330, 0.659], [0.670, 0.670, 0.341], [0.000, 0.000, 0.500], [0.331, 0.331, 0.169], [0.669, 0.669, 0.831], [0.162, 0.162, 0.079], [0.164, 0.164, 0.586], [0.500, 0.500, 0.243], [0.500, 0.500, 0.757], [0.836, 0.836, 0.414], [0.838, 0.838, 0.921]], "raw_formation_energy_kj_per_mol_atoms": -124, "dos_ef_per_ev_fu": 3.95}



{"formula": "LiY3Er2Te6", "functional": "GGA-PBE", "state": "optimized geometry", "lattice": [[9.447, -2.163, 0.000], [9.447, 2.163, 0.000], [-2.015, 0.000, 8.428]], "species": ["Li", "Y", "Y", "Y", "Er", "Er", "Te", "Te", "Te", "Te", "Te", "Te"], "frac_coords": [[0.000, 0.000, 0.000], [0.000, 0.000, 0.500], [0.332, 0.332, 0.170], [0.668, 0.668, 0.830], [0.332, 0.332, 0.662], [0.668, 0.668, 0.338], [0.162, 0.162, 0.083], [0.166, 0.166, 0.581], [0.499, 0.499, 0.759], [0.501, 0.501, 0.241], [0.834, 0.834, 0.419], [0.838, 0.838, 0.917]], "raw_formation_energy_kj_per_mol_atoms": -125, "dos_ef_per_ev_fu": 4.34}



{"formula": "LiY2ErTe4", "functional": "GGA-PBE", "state": "optimized geometry", "lattice": [[7.492, 0.000, 0.000], [0.000, 4.307, 0.000], [-2.462, 0.000, 7.100]], "species": ["Li", "Y", "Y", "Er", "Te", "Te", "Te", "Te"], "frac_coords": [[0.000, 0.000, 0.000], [0.000, 0.500, 0.500], [0.500, 0.000, 0.500], [0.500, 0.500, 0.000], [0.242, 0.500, 0.240], [0.247, 0.000, 0.758], [0.753, 0.000, 0.242], [0.758, 0.500, 0.760]], "raw_formation_energy_kj_per_mol_atoms": -126, "dos_ef_per_ev_fu": 3.29}



{"formula": "Li4Y3ErTe8", "functional": "GGA-PBE", "state": "optimized geometry", "lattice": [[4.338, 2.504, 7.061], [-4.338, 2.504, 7.061], [0.000, -5.009, 7.061]], "species": ["Li", "Li", "Li", "Li", "Y", "Y", "Y", "Er", "Te", "Te", "Te", "Te", "Te", "Te", "Te", "Te"], "frac_coords": [[0.000, 0.000, 0.000], [0.000, 0.500, 0.500], [0.500, 0.000, 0.500], [0.500, 0.500, 0.000], [0.000, 0.000, 0.500], [0.000, 0.500, 0.000], [0.500, 0.000, 0.000], [0.500, 0.500, 0.500], [0.249, 0.249, 0.746], [0.249, 0.746, 0.249], [0.252, 0.252, 0.252], [0.254, 0.751, 0.751], [0.746, 0.249, 0.249], [0.748, 0.748, 0.748], [0.751, 0.254, 0.751], [0.751, 0.751, 0.254]], "raw_formation_energy_kj_per_mol_atoms": -125}



{"formula": "Li4Er3ZrTe8", "functional": "GGA-PBE", "state": "optimized geometry", "lattice": [[4.244, 2.450, 7.065], [-4.244, 2.450, 7.065], [0.000, -4.901, 7.065]], "species": ["Li", "Li", "Li", "Li", "Er", "Er", "Er", "Zr", "Te", "Te", "Te", "Te", "Te", "Te", "Te", "Te"], "frac_coords": [[0.000, 0.000, 0.000], [0.000, 0.500, 0.500], [0.500, 0.000, 0.500], [0.500, 0.500, 0.000], [0.000, 0.000, 0.500], [0.000, 0.500, 0.000], [0.500, 0.000, 0.000], [0.500, 0.500, 0.500], [0.252, 0.252, 0.252], [0.254, 0.254, 0.741], [0.254, 0.741, 0.254], [0.259, 0.746, 0.746], [0.741, 0.254, 0.254], [0.746, 0.259, 0.746], [0.746, 0.746, 0.259], [0.748, 0.748, 0.748]], "raw_formation_energy_kj_per_mol_atoms": -113, "dos_ef_per_ev_fu": 4.35}



{"formula": "LiErTh", "functional": "GGA-PBE", "state": "optimized geometry", "lattice": [[3.465, 0.000, 0.000], [-1.732, 3.001, 0.000], [0.000, 0.000, 8.440]], "species": ["Li", "Er", "Th"], "frac_coords": [[0.000, 0.000, 0.000], [0.333, 0.667, 0.673], [0.667, 0.333, 0.338]], "polymorph_energy_mev_per_atom": 82, "e_form_ev_per_atom": 0.14, "dos_ef_per_ev_fu": 2.49}



{"formula": "LiEr2Th", "functional": "GGA-PBE", "state": "optimized geometry", "lattice": [[1.734, 1.001, 11.255], [-1.734, 1.001, 11.255], [0.000, -2.002, 11.255]], "species": ["Li", "Er", "Er", "Th"], "frac_coords": [[0.000, 0.000, 0.000], [0.414, 0.414, 0.414], [0.587, 0.587, 0.587], [0.834, 0.834, 0.834]], "polymorph_energy_mev_per_atom": 67, "e_form_ev_per_atom": 0.13, "dos_ef_per_ev_fu": 6.11}



{"formula": "LiErTh", "functional": "GGA-PBE", "state": "optimized geometry", "lattice": [[-1.812, 1.812, 6.290], [1.812, -1.812, 6.290], [1.812, 1.812, -6.290]], "species": ["Li", "Er", "Th"], "frac_coords": [[0.000, 0.000, 0.000], [0.651, 0.651, 0.000], [0.336, 0.336, 0.000]], "polymorph_energy_mev_per_atom": 64, "e_form_ev_per_atom": 0.12, "dos_ef_per_ev_fu": 3.02}



{"formula": "LiErTh", "functional": "GGA-PBE", "state": "optimized geometry", "lattice": [[3.589, 0.000, 0.000], [0.000, 3.589, 0.000], [0.000, 0.000, 12.787]], "species": ["Li", "Li", "Er", "Er", "Th", "Th"], "frac_coords": [[0.250, 0.250, 0.051], [0.750, 0.750, 0.949], [0.250, 0.250, 0.785], [0.750, 0.750, 0.215], [0.250, 0.250, 0.404], [0.750, 0.750, 0.596]], "polymorph_energy_mev_per_atom": 0, "e_form_ev_per_atom": 0.06, "dos_ef_per_ev_fu": 3.79}



{"formula": "LiEr2Th", "functional": "GGA-PBE", "state": "optimized geometry", "lattice": [[5.675, 0.000, 0.000], [0.000, 5.675, 0.000], [0.000, 0.000, 3.592]], "species": ["Li", "Er", "Er", "Th"], "frac_coords": [[0.000, 0.000, 0.000], [0.000, 0.500, 0.500], [0.500, 0.000, 0.500], [0.500, 0.500, 0.000]], "polymorph_energy_mev_per_atom": 121, "e_form_ev_per_atom": 0.18, "dos_ef_per_ev_fu": 5.33}



{"formula": "LiEr2Th", "functional": "GGA-PBE", "state": "optimized geometry", "lattice": [[3.611, 0.000, 0.000], [0.000, 3.611, 0.000], [0.000, 0.000, 8.607]], "species": ["Li", "Er", "Er", "Th"], "frac_coords": [[0.000, 0.000, 0.000], [0.500, 0.500, 0.229], [0.500, 0.500, 0.771], [0.000, 0.000, 0.500]], "polymorph_energy_mev_per_atom": 0, "e_form_ev_per_atom": 0.06, "dos_ef_per_ev_fu": 3.86}



{"formula": "Li2ErTh", "functional": "GGA-PBE", "state": "optimized geometry", "lattice": [[3.662, 0.000, 0.000], [0.000, 3.662, 0.000], [0.000, 0.000, 7.357]], "species": ["Li", "Li", "Er", "Th"], "frac_coords": [[0.000, 0.000, 0.243], [0.000, 0.000, 0.757], [0.500, 0.500, 0.000], [0.500, 0.500, 0.500]], "polymorph_energy_mev_per_atom": 0, "e_form_ev_per_atom": 0.22, "dos_ef_per_ev_fu": 3.55}



{"formula": "LiEr2Th", "functional": "GGA-PBE", "state": "optimized geometry", "lattice": [[1.748, 1.009, 11.856], [-1.748, 1.009, 11.856], [0.000, -2.019, 11.856]], "species": ["Li", "Er", "Er", "Th"], "frac_coords": [[0.000, 0.000, 0.000], [0.089, 0.089, 0.089], [0.911, 0.911, 0.911], [0.500, 0.500, 0.500]], "polymorph_energy_mev_per_atom": 113, "e_form_ev_per_atom": 0.17, "dos_ef_per_ev_fu": 4.18}



{"formula": "Li4ErTh", "functional": "GGA-PBE", "state": "optimized geometry", "lattice": [[0.000, 4.102, 4.102], [4.102, 0.000, 4.102], [4.102, 4.102, 0.000]], "species": ["Li", "Li", "Li", "Li", "Er", "Th"], "frac_coords": [[0.125, 0.125, 0.125], [0.125, 0.125, 0.626], [0.125, 0.626, 0.125], [0.626, 0.125, 0.125], [0.750, 0.750, 0.750], [0.500, 0.500, 0.500]], "e_form_ev_per_atom": 0.19, "dos_ef_per_ev_fu": 5.93}



{"formula": "Li2ErThTl4", "functional": "GGA-PBE", "state": "optimized geometry", "lattice": [[2.622, 1.514, 8.561], [-2.622, 1.514, 8.561], [0.000, -3.027, 8.561]], "species": ["Li", "Li", "Er", "Th", "Tl", "Tl", "Tl", "Tl"], "frac_coords": [[0.249, 0.249, 0.249], [0.751, 0.751, 0.751], [0.500, 0.500, 0.500], [0.000, 0.000, 0.000], [0.128, 0.128, 0.128], [0.378, 0.378, 0.378], [0.622, 0.622, 0.622], [0.872, 0.872, 0.872]], "e_form_ev_per_atom": -0.21, "dos_ef_per_ev_fu": 3.21}



{"formula": "Li2Er2ThTl2", "functional": "GGA-PBE", "state": "optimized geometry", "lattice": [[2.423, 1.399, 8.860], [-2.423, 1.399, 8.860], [0.000, -2.798, 8.860]], "species": ["Li", "Li", "Er", "Er", "Th", "Tl", "Tl"], "frac_coords": [[0.089, 0.089, 0.089], [0.911, 0.911, 0.911], [0.370, 0.370, 0.370], [0.630, 0.630, 0.630], [0.500, 0.500, 0.500], [0.239, 0.239, 0.239], [0.761, 0.761, 0.761]], "e_form_ev_per_atom": -0.10, "dos_ef_per_ev_fu": 4.68}



{"formula": "LiErThZn", "functional": "GGA-PBE", "state": "optimized geometry", "lattice": [[0.000, 3.633, 3.633], [3.633, 0.000, 3.633], [3.633, 3.633, 0.000]], "species": ["Li", "Er", "Th", "Zn"], "frac_coords": [[0.000, 0.000, 0.000], [0.750, 0.750, 0.750], [0.250, 0.250, 0.250], [0.500, 0.500, 0.500]], "e_form_ev_per_atom": -0.02, "dos_ef_per_ev_fu": 4.92}



{"formula": "LiEr2Ti", "functional": "GGA-PBE", "state": "optimized geometry", "lattice": [[3.397, 0.000, 0.000], [0.000, 3.397, 0.000], [0.000, 0.000, 8.467]], "species": ["Li", "Er", "Er", "Ti"], "frac_coords": [[0.000, 0.000, 0.000], [0.500, 0.500, 0.266], [0.500, 0.500, 0.734], [0.000, 0.000, 0.500]], "polymorph_energy_mev_per_atom": 0, "e_form_ev_per_atom": 0.14, "dos_ef_per_ev_fu": 3.88}



{"formula": "LiEr2Ti", "functional": "GGA-PBE", "state": "optimized geometry", "lattice": [[1.639, 0.946, 10.755], [-1.639, 0.946, 10.755], [0.000, -1.893, 10.755]], "species": ["Li", "Er", "Er", "Ti"], "frac_coords": [[0.000, 0.000, 0.000], [0.243, 0.243, 0.243], [0.757, 0.757, 0.757], [0.500, 0.500, 0.500]], "polymorph_energy_mev_per_atom": 59, "e_form_ev_per_atom": 0.20, "dos_ef_per_ev_fu": 4.66}



{"formula": "Li4ErTl2", "functional": "GGA-PBE", "state": "optimized geometry", "lattice": [[-1.906, 1.906, 10.008], [1.906, -1.906, 10.008], [1.906, 1.906, -10.008]], "species": ["Li", "Li", "Li", "Li", "Er", "Tl", "Tl"], "frac_coords": [[0.151, 0.151, 0.000], [0.250, 0.750, 0.500], [0.750, 0.250, 0.500], [0.849, 0.849, 0.000], [0.000, 0.000, 0.000], [0.394, 0.394, 0.000], [0.606, 0.606, 0.000]], "e_form_ev_per_atom": -0.08, "dos_ef_per_ev_fu": 3.81}



{"formula": "LiEr4Tl7", "functional": "GGA-PBE", "state": "optimized geometry", "lattice": [[7.346, -2.659, 0.000], [7.346, 2.659, 0.000], [-6.705, 0.000, 8.898]], "species": ["Li", "Er", "Er", "Er", "Er", "Tl", "Tl", "Tl", "Tl", "Tl", "Tl", "Tl"], "frac_coords": [[0.000, 0.000, 0.000], [0.290, 0.290, 0.658], [0.423, 0.423, 0.210], [0.577, 0.577, 0.790], [0.710, 0.710, 0.342], [0.072, 0.072, 0.309], [0.218, 0.218, 0.871], [0.363, 0.363, 0.433], [0.500, 0.500, 0.000], [0.637, 0.637, 0.567], [0.782, 0.782, 0.129], [0.928, 0.928, 0.691]], "e_form_ev_per_atom": -0.12, "dos_ef_per_ev_fu": 4.51}



{"formula": "Li5Er2Tl4", "functional": "GGA-PBE", "state": "optimized geometry", "lattice": [[0.000, 5.472, 8.680], [2.726, 0.000, 8.680], [2.726, 5.472, 0.000]], "species": ["Li", "Li", "Li", "Li", "Li", "Er", "Er", "Tl", "Tl", "Tl", "Tl"], "frac_coords": [[0.000, 0.000, 0.000], [0.000, 0.000, 0.500], [0.250, 0.250, 0.250], [0.500, 0.500, 0.000], [0.750, 0.750, 0.750], [0.323, 0.323, 0.677], [0.677, 0.677, 0.323], [0.019, 0.719, 0.281], [0.281, 0.981, 0.019], [0.719, 0.019, 0.981], [0.981, 0.281, 0.719]], "e_form_ev_per_atom": -0.10, "dos_ef_per_ev_fu": 5.70}



{"formula": "LiEr2Tl2", "functional": "GGA-PBE", "state": "optimized geometry", "lattice": [[-3.201, 6.469, 3.103], [3.201, -6.469, 3.103], [3.201, 6.469, -3.103]], "species": ["Li", "Li", "Er", "Er", "Er", "Er", "Tl", "Tl", "Tl", "Tl"], "frac_coords": [[0.250, 0.250, 0.000], [0.750, 0.750, 0.000], [0.177, 0.239, 0.416], [0.323, 0.739, 0.062], [0.677, 0.261, 0.938], [0.823, 0.761, 0.584], [0.085, 0.696, 0.781], [0.415, 0.196, 0.611], [0.585, 0.804, 0.389], [0.915, 0.304, 0.219]], "e_form_ev_per_atom": -0.11, "dos_ef_per_ev_fu": 5.58}



{"formula": "Li2ErTl", "functional": "GGA-PBE", "state": "optimized geometry", "lattice": [[0.000, 3.525, 3.525], [3.525, 0.000, 3.525], [3.525, 3.525, 0.000]], "species": ["Li", "Li", "Er", "Tl"], "frac_coords": [[0.000, 0.000, 0.000], [0.250, 0.250, 0.250], [0.500, 0.500, 0.500], [0.750, 0.750, 0.750]], "polymorph_energy_mev_per_atom": 8, "e_form_ev_per_atom": -0.20, "dos_ef_per_ev_fu": 1.39}



{"formula": "Li2Er3Tl6", "functional": "GGA-PBE", "state": "optimized geometry", "lattice": [[-2.324, 2.324, 12.798], [2.324, -2.324, 12.798], [2.324, 2.324, -12.798]], "species": ["Li", "Li", "Er", "Er", "Er", "Tl", "Tl", "Tl", "Tl", "Tl", "Tl"], "frac_coords": [[0.046, 0.046, 0.000], [0.954, 0.954, 0.000], [0.309, 0.309, 0.000], [0.500, 0.500, 0.000], [0.691, 0.691, 0.000], [0.097, 0.597, 0.500], [0.190, 0.190, 0.000], [0.403, 0.903, 0.500], [0.597, 0.097, 0.500], [0.810, 0.810, 0.000], [0.903, 0.403, 0.500]], "e_form_ev_per_atom": -0.13, "dos_ef_per_ev_fu": 5.77}